# 1
VASP calculation (PBE-GGA) on an optimized crystal structure of CaNb3Si.

Geometry as POSCAR:
```
CaNb3Si
1.0
4.7040 0.0000 0.0000
0.0000 4.7040 0.0000
0.0000 0.0000 4.7040
Nb Ca Si
3 1 1
direct
0.5000 0.0000 0.0000
0.0000 0.5000 0.0000
0.0000 0.0000 0.5000
0.0000 0.0000 0.0000
0.5000 0.5000 0.5000
```

Summary:
**Formation energy without anion corrections**: 2.2562 eV per atom
**Crystal system**: cubic
**Relative energy among the computed polymorphs**: 1.684 eV/atom
**Magnetic moment**: 0.05 μB/cell
**Total DFT energy (no corrections)**: -26.353 eV for the cell shown

***

# 2
VASP calculation (PBE-GGA) on an optimized crystal structure of Li4ThTl5.

Geometry as POSCAR:
```
Li4ThTl5
1.0
3.5131 0.0000 0.0000
0.0000 3.5131 0.0000
0.0000 0.0000 18.4909
Tl Li Th
5 4 1
direct
0.5000 0.5000 0.3084
0.5000 0.5000 0.8733
0.5000 0.5000 0.1267
0.5000 0.5000 0.5000
0.5000 0.5000 0.6916
0.0000 0.0000 0.7851
0.0000 0.0000 0.2149
0.0000 0.0000 0.4026
0.0000 0.0000 0.5974
0.0000 0.0000 0.0000
```

Summary:
**Crystal system**: tetragonal
**DFT formation energy**: -206 meV per atom
**Magnetic moment**: 0.00 μB/cell
**Total DFT energy (no corrections)**: -28.965 eV for the cell shown

***

# 3
VASP calculation (PBE-GGA) on an optimized crystal structure of SrBe4Fe.

Geometry as POSCAR:
```
SrBe4Fe
1.0
-2.9834 1.4880 3.4171
-2.1236 4.2593 -0.3739
-4.6865 0.2624 -0.8711
Be Fe Sr
4 1 1
direct
0.3813 0.3813 0.3813
0.3813 0.3813 0.8560
0.3813 0.8560 0.3813
0.8560 0.3813 0.3813
0.7500 0.7500 0.7500
0.0000 0.0000 0.0000
```

Summary:
**Crystal system**: cubic
**DFT formation energy**: 438 meV per atom
**Magnetic moment**: 2.03 μB/cell
**Total DFT energy (no corrections)**: -22.424 eV for the cell shown

***

# 4
VASP calculation (PBE-GGA) on an optimized crystal structure of Sr2CaLa.

Geometry as POSCAR:
```
Sr2CaLa
1.0
7.5565 -0.0023 -0.0069
3.5483 6.6717 0.0069
-4.8012 -4.5854 3.6088
La Ca Sr
1 1 2
direct
0.2585 0.7585 0.5000
0.4942 0.4942 0.0000
0.7433 0.2433 0.5000
0.0040 0.0040 0.0000
```

Summary:
**Crystal system**: orthorhombic
**Relative energy among the computed polymorphs**: 0.034 eV/atom
**DFT formation energy**: 120 meV per atom
**Magnetic moment**: 0.00 μB/cell
**Total DFT energy (no corrections)**: -9.814 eV for the cell shown

***

# 5
VASP calculation (PBE-GGA) on an optimized crystal structure of CaTc2P.

Geometry as POSCAR:
```
CaTc2P
1.0
-1.4288 3.3298 -2.0196
-3.0173 -0.9866 0.5079
-0.8234 2.6488 4.9497
Ca Tc P
1 2 1
direct
0.0000 0.4388 0.5478
0.0000 0.8817 0.0444
0.5000 0.3042 0.1099
0.5000 0.8753 0.7979
```

Summary:
**Crystal system**: monoclinic
**DFT formation energy**: -80 meV per atom
**Magnetic moment**: 0.00 μB/cell
**Total DFT energy (no corrections)**: -28.465 eV for the cell shown

***

# 6
VASP calculation (PBE-GGA) on an optimized crystal structure of Hg4SbPb4.

Geometry as POSCAR:
```
Hg4SbPb4
1.0
-3.3112 0.2665 2.6085
-5.5689 -4.9945 -3.1394
1.2309 -5.7673 5.5711
Hg Pb Sb
4 4 1
direct
0.1597 0.8401 0.3405
0.5002 0.1595 0.3401
0.4998 0.8405 0.6599
0.8403 0.1599 0.6595
0.8386 0.5002 0.3226
0.1612 0.1774 0.0002
0.8388 0.8226 0.9998
0.1614 0.4998 0.6774
0.5000 0.5000 0.0000
```

Summary:
**Formation energy without anion corrections**: 0.0316 eV per atom
**Crystal system**: tetragonal
**Magnetic moment**: 0.00 μB/cell
**Total DFT energy (no corrections)**: -19.878 eV for the cell shown